This record from the Alexandria database describes an optimized crystal structure of LaMgTc. The functional is PBE.

Structure (CIF):
```
data_LaMgTc
_chemical_formula_sum 'La4 Mg4 Tc4'
_space_group_name_H-M_alt 'F -4 3 m'
_space_group_IT_number 216
_space_group_name_Hall 'F -4 2 3'
_cell_length_a 6.6148
_cell_length_b 6.6148
_cell_length_c 6.6148
_cell_angle_alpha 90.00
_cell_angle_beta 90.00
_cell_angle_gamma 90.00
loop_
_atom_site_label
_atom_site_type_symbol
_atom_site_fract_x
_atom_site_fract_y
_atom_site_fract_z
_atom_site_occupancy
La1 La 0.0000 0.0000 0.0000 1
Mg1 Mg 0.0000 0.0000 0.5000 1
Tc1 Tc 0.2500 0.2500 0.2500 1
```

Calculated values
Its density of states at the Fermi level is 0.9 states/eV/f.u. The value obtained for the energy of formation is 0.38 eV/atom.